# Pm3Ag3Hg2 | the Alexandria database | PBE-GGA | optimized geometry
data_Pm3Ag3Hg2
_chemical_formula_sum 'Pm12 Ag12 Hg8'
_cell_length_a 4.805
_cell_length_b 11.156
_cell_length_c 15.131
_cell_angle_alpha 90.00
_cell_angle_beta 90.00
_cell_angle_gamma 90.00
_space_group_name_H-M_alt 'C m c m'
_space_group_IT_number 63
_space_group_name_Hall '-C 2c 2'
loop_
_atom_site_label
_atom_site_type_symbol
_atom_site_fract_x
_atom_site_fract_y
_atom_site_fract_z
Pm1 Pm 0.000 0.083 0.104
Pm2 Pm 0.000 0.350 0.250
Ag1 Ag 0.000 0.376 0.750
Ag2 Ag 0.000 0.393 0.044
Hg1 Hg 0.000 0.210 0.606
# formation energy from the elements = -6.92 kcal/mol of atoms
# total magnetization = 0.00 μB/f.u.
# ΔE to the lowest computed polymorph = 0 meV per atom
# volume = 203 Å³/f.u.
# DFT total energy = -3.23 eV/atom

***

# HIrS2 | the Alexandria database | PBE-GGA | optimized geometry
data_HIrS2
_chemical_formula_sum 'H4 Ir4 S8'
_cell_length_a 4.576
_cell_length_b 4.576
_cell_length_c 11.509
_cell_angle_alpha 90.00
_cell_angle_beta 90.00
_cell_angle_gamma 90.00
_space_group_name_H-M_alt 'I 41/a m d'
_space_group_IT_number 141
loop_
_space_group_symop_operation_xyz
'x,y,z'
'-x,-y,-z'
'-y+1/4,x+3/4,z+1/4'
'y+1/4,-x+3/4,-z+1/4'
'-x+1/2,-y,z+1/2'
'x+1/2,y,-z+1/2'
'y+1/4,-x+1/4,z+3/4'
'-y+1/4,x+1/4,-z+3/4'
'x,-y,-z'
'-x,y,z'
'-y+1/4,-x+1/4,-z+3/4'
'y+1/4,x+1/4,z+3/4'
'-x+1/2,y,-z+1/2'
'x+1/2,-y,z+1/2'
'y+1/4,x+3/4,-z+1/4'
'-y+1/4,-x+3/4,z+1/4'
'x+1/2,y+1/2,z+1/2'
'-x+1/2,-y+1/2,-z+1/2'
'-y+3/4,x+1/4,z+3/4'
'y+3/4,-x+1/4,-z+3/4'
'-x,-y+1/2,z'
'x,y+1/2,-z'
'y+3/4,-x+3/4,z+1/4'
'-y+3/4,x+3/4,-z+1/4'
'x+1/2,-y+1/2,-z+1/2'
'-x+1/2,y+1/2,z+1/2'
'-y+3/4,-x+3/4,-z+1/4'
'y+3/4,x+3/4,z+1/4'
'-x,y+1/2,-z'
'x,-y+1/2,z'
'y+3/4,x+1/4,-z+3/4'
'-y+3/4,-x+1/4,z+3/4'
loop_
_atom_site_label
_atom_site_type_symbol
_atom_site_fract_x
_atom_site_fract_y
_atom_site_fract_z
H1 H 0.000 0.250 0.375
Ir1 Ir 0.000 0.250 0.875
S1 S 0.000 0.250 0.081
# total magnetization = 0.00 μB/f.u.
# ΔE to the lowest computed polymorph = 554 meV per atom
# volume = 60 Å³/f.u.
# DFT total energy = -4.85 eV/atom

***

# MgNpHgSb | the Alexandria database | PBE-GGA | optimized geometry
data_MgNpHgSb
_chemical_formula_sum 'Mg4 Np4 Hg4 Sb4'
_cell_length_a 7.353
_cell_length_b 7.353
_cell_length_c 7.353
_cell_angle_alpha 90.00
_cell_angle_beta 90.00
_cell_angle_gamma 90.00
_space_group_name_H-M_alt 'F -4 3 m'
_space_group_IT_number 216
_space_group_name_Hall 'F -4 2 3'
loop_
_atom_site_label
_atom_site_type_symbol
_atom_site_fract_x
_atom_site_fract_y
_atom_site_fract_z
Mg1 Mg 0.000 0.000 0.000
Np1 Np 0.000 0.000 0.500
Hg1 Hg 0.250 0.250 0.750
Sb1 Sb 0.250 0.250 0.250
# formation energy from raw total energies = -0.19 eV per formula unit
# total magnetization = 4.41 μB/f.u.
# volume = 99 Å³/f.u.
# DFT total energy = -4.79 eV/atom

***

# KMoRu | the Alexandria database | PBE-GGA | optimized geometry
data_KMoRu
_chemical_formula_sum 'K4 Mo4 Ru4'
_cell_length_a 6.630
_cell_length_b 6.630
_cell_length_c 6.630
_cell_angle_alpha 90.00
_cell_angle_beta 90.00
_cell_angle_gamma 90.00
_space_group_name_H-M_alt 'F -4 3 m'
_space_group_IT_number 216
_space_group_name_Hall 'F -4 2 3'
loop_
_atom_site_label
_atom_site_type_symbol
_atom_site_fract_x
_atom_site_fract_y
_atom_site_fract_z
K1 K 0.000 0.000 0.000
Mo1 Mo 0.250 0.250 0.250
Ru1 Ru 0.250 0.250 0.750
# formation energy from the elements = 67.65 kcal/mol of atoms
# total magnetization = 2.42 μB/f.u.
# ΔE to the lowest computed polymorph = 2137 meV per atom
# volume = 73 Å³/f.u.
# DFT total energy = -4.13 eV/atom

***

# Ac6PrCo2 | the Alexandria database | PBE-GGA | optimized geometry
data_Ac6PrCo2
_chemical_formula_sum 'Ac24 Pr4 Co8'
_cell_length_a 15.755
_cell_length_b 8.755
_cell_length_c 10.454
_cell_angle_alpha 90.00
_cell_angle_beta 115.42
_cell_angle_gamma 90.00
_space_group_name_H-M_alt 'C 1 2/c 1'
_space_group_IT_number 15
loop_
_space_group_symop_operation_xyz
'x,y,z'
'-x,-y,-z'
'-x,y,-z+1/2'
'x,-y,z+1/2'
'x+1/2,y+1/2,z'
'-x+1/2,-y+1/2,-z'
'-x+1/2,y+1/2,-z+1/2'
'x+1/2,-y+1/2,z+1/2'
loop_
_atom_site_label
_atom_site_type_symbol
_atom_site_fract_x
_atom_site_fract_y
_atom_site_fract_z
Ac1 Ac 0.128 0.215 0.168
Ac2 Ac 0.138 0.202 0.547
Ac3 Ac 0.160 0.413 0.884
Pr1 Pr 0.000 0.087 0.750
Co1 Co 0.205 0.085 0.817
# formation energy from the elements = 2.29 kcal/mol of atoms
# total magnetization = 0.00 μB/f.u.
# volume = 326 Å³/f.u.
# DFT total energy = -4.75 eV/atom

***

# Ac3PuSe6 | the Alexandria database | PBE-GGA | optimized geometry
data_Ac3PuSe6
_chemical_formula_sum 'Ac18 Pu6 Se36'
_cell_length_a 13.5189
_cell_length_b 13.5189
_cell_length_c 12.8604
_cell_angle_alpha 90.00
_cell_angle_beta 90.00
_cell_angle_gamma 120.00
_space_group_name_H-M_alt 'R -3'
_space_group_IT_number 148
_space_group_name_Hall '-R 3'
loop_
_atom_site_label
_atom_site_type_symbol
_atom_site_fract_x
_atom_site_fract_y
_atom_site_fract_z
Ac1 Ac 0.0534 0.2798 0.1619
Pu1 Pu 0.0000 0.0000 0.0000
Pu2 Pu 0.0000 0.0000 0.5000
Se1 Se 0.0340 0.2060 0.8955
Se2 Se 0.0490 0.2069 0.3906
# formation energy from raw total energies = -18.32 eV per formula unit
# total magnetization = 5.00 μB/f.u.
# ΔE to the lowest computed polymorph = 0 meV per atom
# volume = 339 Å³/f.u.
# DFT total energy = -6.59 eV/atom

***

# Na2SnGeS5 | the Alexandria database | PBE-GGA | optimized geometry
data_Na2SnGeS5
_chemical_formula_sum 'Na8 Sn4 Ge4 S20'
_cell_length_a 3.666
_cell_length_b 18.672
_cell_length_c 12.474
_cell_angle_alpha 90.00
_cell_angle_beta 90.00
_cell_angle_gamma 90.00
_space_group_name_H-M_alt 'C m c 21'
_space_group_IT_number 36
loop_
_space_group_symop_operation_xyz
'x,y,z'
'-x,-y,z+1/2'
'-x,y,z'
'x,-y,z+1/2'
'x+1/2,y+1/2,z'
'-x+1/2,-y+1/2,z+1/2'
'-x+1/2,y+1/2,z'
'x+1/2,-y+1/2,z+1/2'
loop_
_atom_site_label
_atom_site_type_symbol
_atom_site_fract_x
_atom_site_fract_y
_atom_site_fract_z
Na1 Na 0.000 0.099 0.000
Na2 Na 0.000 0.108 0.675
Sn1 Sn 0.000 0.235 0.391
Ge1 Ge 0.000 0.432 0.778
S1 S 0.000 0.047 0.389
S2 S 0.000 0.283 0.026
S3 S 0.000 0.312 0.749
S4 S 0.000 0.357 0.342
S5 S 0.000 0.488 0.628
# formation energy from raw total energies = -5.72 eV per formula unit
# total magnetization = 0.00 μB/f.u.
# volume = 213 Å³/f.u.
# DFT total energy = -4.18 eV/atom

***

# TbPm2Sc2 | the Alexandria database | PBE-GGA | optimized geometry
data_TbPm2Sc2
_chemical_formula_sum 'Tb4 Pm8 Sc8'
_cell_length_a 5.686
_cell_length_b 11.458
_cell_length_c 9.495
_cell_angle_alpha 90.00
_cell_angle_beta 90.00
_cell_angle_gamma 90.00
_space_group_name_H-M_alt 'I m m a'
_space_group_IT_number 74
_space_group_name_Hall '-I 2b 2'
loop_
_atom_site_label
_atom_site_type_symbol
_atom_site_fract_x
_atom_site_fract_y
_atom_site_fract_z
Tb1 Tb 0.000 0.250 0.145
Pm1 Pm 0.000 0.076 0.836
Sc1 Sc 0.000 0.115 0.447
# formation energy from the elements = 4.16 kcal/mol of atoms
# total magnetization = 0.00 μB/f.u.
# ΔE to the lowest computed polymorph = 19 meV per atom
# volume = 155 Å³/f.u.
# DFT total energy = -5.18 eV/atom

***

# BaTe2C | the Alexandria database | PBE-GGA | optimized geometry
data_BaTe2C
_chemical_formula_sum 'Ba3 Te6 C3'
_cell_length_a 4.2256
_cell_length_b 4.2256
_cell_length_c 22.8041
_cell_angle_alpha 90.00
_cell_angle_beta 90.00
_cell_angle_gamma 120.00
_space_group_name_H-M_alt 'R -3 m'
_space_group_IT_number 166
_space_group_name_Hall '-R 3 2"'
loop_
_atom_site_label
_atom_site_type_symbol
_atom_site_fract_x
_atom_site_fract_y
_atom_site_fract_z
Ba1 Ba 0.0000 0.0000 0.0000
Te1 Te 0.0000 0.0000 0.2251
C1 C 0.0000 0.0000 0.5000
# formation energy from raw total energies = 2.58 eV per formula unit
# total magnetization = 0.00 μB/f.u.
# volume = 118 Å³/f.u.
# DFT total energy = -3.71 eV/atom

***

# YHg2Ir | the Alexandria database | PBE-GGA | optimized geometry
data_YHg2Ir
_chemical_formula_sum 'Y3 Hg6 Ir3'
_cell_length_a 3.2728
_cell_length_b 3.2728
_cell_length_c 28.2305
_cell_angle_alpha 90.00
_cell_angle_beta 90.00
_cell_angle_gamma 120.00
_space_group_name_H-M_alt 'R -3 m'
_space_group_IT_number 166
_space_group_name_Hall '-R 3 2"'
loop_
_atom_site_label
_atom_site_type_symbol
_atom_site_fract_x
_atom_site_fract_y
_atom_site_fract_z
Y1 Y 0.0000 0.0000 0.0000
Hg1 Hg 0.0000 0.0000 0.2426
Ir1 Ir 0.0000 0.0000 0.5000
# formation energy from the elements = 5.94 kcal/mol of atoms
# total magnetization = 0.24 μB/f.u.
# ΔE to the lowest computed polymorph = 519 meV per atom
# volume = 87 Å³/f.u.
# DFT total energy = -3.72 eV/atom

***

# MgRePt2Pb | the Alexandria database | PBE-GGA | optimized geometry
data_MgRePt2Pb
_chemical_formula_sum 'Mg1 Re1 Pt2 Pb1'
_cell_length_a 4.631
_cell_length_b 4.631
_cell_length_c 4.798
_cell_angle_alpha 90.00
_cell_angle_beta 90.00
_cell_angle_gamma 90.00
_space_group_name_H-M_alt 'P 4/m m m'
_space_group_IT_number 123
_space_group_name_Hall '-P 4 2'
loop_
_atom_site_label
_atom_site_type_symbol
_atom_site_fract_x
_atom_site_fract_y
_atom_site_fract_z
Mg1 Mg 0.000 0.000 0.000
Re1 Re 0.000 0.000 0.500
Pt1 Pt 0.000 0.500 0.000
Pb1 Pb 0.500 0.500 0.500
# formation energy from the elements = 28.04 kcal/mol of atoms
# total magnetization = 1.09 μB/f.u.
# volume = 103 Å³/f.u.
# DFT total energy = -4.75 eV/atom

***

# YWN3 | the Alexandria database | PBE-GGA | optimized geometry
data_YWN3
_chemical_formula_sum 'Y1 W1 N3'
_cell_length_a 3.5350
_cell_length_b 3.5350
_cell_length_c 5.6083
_cell_angle_alpha 90.00
_cell_angle_beta 90.00
_cell_angle_gamma 120.00
_space_group_name_H-M_alt 'P 3 m 1'
_space_group_IT_number 156
loop_
_space_group_symop_operation_xyz
'x,y,z'
'-y,x-y,z'
'-x+y,-x,z'
'-y,-x,z'
'-x+y,y,z'
'x,x-y,z'
loop_
_atom_site_label
_atom_site_type_symbol
_atom_site_fract_x
_atom_site_fract_y
_atom_site_fract_z
Y1 Y 0.0000 0.0000 0.0000
W1 W 0.6667 0.3333 0.4692
N1 N 0.0000 0.0000 0.4775
N2 N 0.3333 0.6667 0.2432
N3 N 0.6667 0.3333 0.8016
# formation energy from raw total energies = -3.49 eV per formula unit
# total magnetization = 0.00 μB/f.u.
# volume = 61 Å³/f.u.
# DFT total energy = -9.58 eV/atom